(1)
Here is a relaxed structure of YVSe3 from the Alexandria database. Energies are from GGA-PBE.

For the formation energy without anion corrections, the calculation gives -4 kJ/mol of atoms. The energy comes out at -5.249 eV per atom.

The structure belongs to space group Pm-3m (No. 221); the cell edges are 5.408, 5.408 and 5.408 Å and the angles 90.00°, 90.00° and 90.00°. The asymmetric unit holds Y at (0.000, 0.000, 0.000), V at (0.500, 0.500, 0.500) and Se at (0.000, 0.000, 0.500).


(2)
Here is a relaxed structure of RbZr2CuOs from the Alexandria database. Energies are from GGA-PBE.

The energy comes out at -5.460 eV per atom.

The structure belongs to space group P4/mmm (No. 123); the cell edges are 5.039, 5.039 and 4.747 Å and the angles 90.00°, 90.00° and 90.00°. The asymmetric unit holds Rb at (0.000, 0.000, 0.000), Zr at (0.000, 0.500, 0.500), Cu at (0.500, 0.500, 0.500) and Os at (0.500, 0.500, 0.000).


(3)
Here is a relaxed structure of NbCdGeC2 from the Alexandria database. Energies are from GGA-PBE.

The energy comes out at -4.233 eV per atom.

The structure belongs to space group P4/mmm (No. 123); the cell edges are 4.067, 4.067 and 5.578 Å and the angles 90.00°, 90.00° and 90.00°. The asymmetric unit holds Nb at (0.000, 0.000, 0.000), Cd at (0.000, 0.000, 0.500), Ge at (0.500, 0.500, 0.000) and C at (0.000, 0.500, 0.500).


(4)
Here is a relaxed structure of CeTlAg2 from the Alexandria database. Energies are from GGA-PBE.

The energy comes out at -3.501 eV per atom.

The structure belongs to space group P4/mmm (No. 123); the cell edges are 3.809, 3.809 and 6.841 Å and the angles 90.00°, 90.00° and 90.00°. The asymmetric unit holds Ce at (0.000, 0.000, 0.000), Tl at (0.000, 0.000, 0.500) and Ag at (0.500, 0.500, 0.254).


(5)
Here is a relaxed structure of Sr2IrW from the Alexandria database. Energies are from GGA-PBE.

The energy comes out at -5.960 eV per atom.

The structure belongs to space group Pm (No. 6); the cell edges are 3.419, 3.420 and 9.563 Å and the angles 90.00°, 90.12° and 90.00°. The asymmetric unit holds Sr at (0.000, 0.000, 0.000), Sr at (0.495, 0.500, 0.392), Ir at (0.497, 0.500, 0.753) and W at (0.997, 0.000, 0.652).


(6)
Here is a relaxed structure of BeHgAsSe2 from the Alexandria database. Energies are from GGA-PBE.

For the formation energy without anion corrections, the calculation gives 127 kJ/mol of atoms. The energy comes out at -1.811 eV per atom.

The structure belongs to space group P4/mmm (No. 123); the cell edges are 5.253, 5.253 and 5.216 Å and the angles 90.00°, 90.00° and 90.00°. The asymmetric unit holds Be at (0.000, 0.000, 0.000), Hg at (0.500, 0.500, 0.500), As at (0.500, 0.500, 0.000) and Se at (0.000, 0.500, 0.500).


(7)
Here is a relaxed structure of TbHo4Ru2 from the Alexandria database. Energies are from GGA-PBE.

The energy comes out at -6.193 eV per atom.

The structure belongs to space group P2_1/m (No. 11); the cell edges are 7.733, 6.320 and 7.892 Å and the angles 90.00°, 112.60° and 90.00°. The asymmetric unit holds Tb at (0.025, 0.250, 0.164), Ho at (0.243, 0.501, 0.585), Ho at (0.325, 0.750, 0.249), Ho at (0.379, 0.250, 0.020), Ru at (0.022, 0.250, 0.741) and Ru at (0.414, 0.250, 0.375).


(8)
Here is a relaxed structure of Ca2WBr from the Alexandria database. Energies are from GGA-PBE.

For the formation energy without anion corrections, the calculation gives 65 kJ/mol of atoms. The energy comes out at -3.979 eV per atom.

The structure belongs to space group Fm-3m (No. 225); the cell edges are 7.638, 7.638 and 7.638 Å and the angles 90.00°, 90.00° and 90.00°. The asymmetric unit holds Ca at (0.250, 0.250, 0.250), W at (0.000, 0.000, 0.000) and Br at (0.000, 0.000, 0.500).


(9)
Here is a relaxed structure of TaCrAu2 from the Alexandria database. Energies are from GGA-PBE.

The energy comes out at -6.884 eV per atom.

The structure belongs to space group I4/mmm (No. 139); the cell edges are 3.999, 3.999 and 8.327 Å and the angles 90.00°, 90.00° and 90.00°. The asymmetric unit holds Ta at (0.000, 0.000, 0.000), Cr at (0.000, 0.000, 0.500) and Au at (0.000, 0.500, 0.250).


(10)
Here is a relaxed structure of AlCo2W from the Alexandria database. Energies are from GGA-PBE.

The energy comes out at -7.888 eV per atom.

The structure belongs to space group Pmm2 (No. 25); the cell edges are 2.697, 4.270 and 4.395 Å and the angles 90.00°, 90.00° and 90.00°. The asymmetric unit holds Al at (0.000, 0.000, 0.000), Co at (0.500, 0.000, 0.531), Co at (0.500, 0.500, 0.933) and W at (0.000, 0.500, 0.428).


(11)
Here is a relaxed structure of PmZn2Rh from the Alexandria database. Energies are from GGA-PBE.

The energy comes out at -4.004 eV per atom.

The structure belongs to space group Fm-3m (No. 225); the cell edges are 6.638, 6.638 and 6.638 Å and the angles 90.00°, 90.00° and 90.00°. The asymmetric unit holds Pm at (0.000, 0.000, 0.000), Zn at (0.250, 0.250, 0.250) and Rh at (0.000, 0.000, 0.500).


(12)
Here is a relaxed structure of ReTe3Br from the Alexandria database. Energies are from GGA-PBE.

For the formation energy without anion corrections, the calculation gives 176 kJ/mol of atoms. The energy comes out at -2.887 eV per atom.

The structure belongs to space group Pm-3m (No. 221); the cell edges are 5.531, 5.531 and 5.531 Å and the angles 90.00°, 90.00° and 90.00°. The asymmetric unit holds Re at (0.000, 0.000, 0.000), Te at (0.000, 0.500, 0.500) and Br at (0.500, 0.500, 0.500).


(13)
Here is a relaxed structure of Er3TlIn from the Alexandria database. Energies are from GGA-PBE.

The energy comes out at -4.076 eV per atom.

The structure belongs to space group Cmcm (No. 63); the cell edges are 4.988, 22.057 and 4.988 Å and the angles 90.00°, 90.00° and 90.00°. The asymmetric unit holds Er at (0.000, 0.056, 0.250), Er at (0.000, 0.250, 0.250), Er at (0.000, 0.443, 0.250), Tl at (0.000, 0.347, 0.750) and In at (0.000, 0.154, 0.750).


(14)
Here is a relaxed structure of LiZn2Pt2 from the Alexandria database. Energies are from GGA-PBE.

The energy comes out at -3.863 eV per atom.

The structure belongs to space group P4/mbm (No. 127); the cell edges are 7.430, 7.430 and 2.858 Å and the angles 90.00°, 90.00° and 90.00°. The asymmetric unit holds Li at (0.000, 0.000, 0.000), Zn at (0.156, 0.344, 0.500) and Pt at (0.143, 0.643, 0.000).


(15)
Here is a relaxed structure of CuPbN3 from the Alexandria database. Energies are from GGA-PBE.

For the formation energy without anion corrections, the calculation gives 255 kJ/mol of atoms. The energy comes out at -3.910 eV per atom.

The structure belongs to space group Pm-3m (No. 221); the cell edges are 4.255, 4.255 and 4.255 Å and the angles 90.00°, 90.00° and 90.00°. The asymmetric unit holds Cu at (0.000, 0.000, 0.000), Pb at (0.500, 0.500, 0.500) and N at (0.000, 0.500, 0.500).


(16)
Here is a relaxed structure of Mn2CrPtC from the Alexandria database. Energies are from GGA-PBE.

The energy comes out at -8.763 eV per atom.

The structure belongs to space group P4/mmm (No. 123); the cell edges are 3.898, 3.898 and 3.923 Å and the angles 90.00°, 90.00° and 90.00°. The asymmetric unit holds Mn at (0.000, 0.500, 0.000), Cr at (0.000, 0.000, 0.500), Pt at (0.500, 0.500, 0.500) and C at (0.000, 0.000, 0.000).


(17)
Here is a relaxed structure of BeFeP2 from the Alexandria database. Energies are from GGA-PBE.

The energy comes out at -5.361 eV per atom.

The structure belongs to space group F-43m (No. 216); the cell edges are 5.591, 5.591 and 5.591 Å and the angles 90.00°, 90.00° and 90.00°. The asymmetric unit holds Be at (0.000, 0.000, 0.000), Fe at (0.250, 0.250, 0.750), P at (0.000, 0.000, 0.500) and P at (0.250, 0.250, 0.250).


(18)
Here is a relaxed structure of HoTlPd2 from the Alexandria database. Energies are from GGA-PBE.

The energy comes out at -4.988 eV per atom.

The structure belongs to space group Fm-3m (No. 225); the cell edges are 6.829, 6.829 and 6.829 Å and the angles 90.00°, 90.00° and 90.00°. The asymmetric unit holds Ho at (0.000, 0.000, 0.000), Tl at (0.000, 0.000, 0.500) and Pd at (0.250, 0.250, 0.250).


(19)
Here is a relaxed structure of TaNb3Rh from the Alexandria database. Energies are from GGA-PBE.

The energy comes out at -8.728 eV per atom.

The structure belongs to space group Pm-3m (No. 221); the cell edges are 4.777, 4.777 and 4.777 Å and the angles 90.00°, 90.00° and 90.00°. The asymmetric unit holds Ta at (0.000, 0.000, 0.000), Nb at (0.000, 0.500, 0.500) and Rh at (0.500, 0.500, 0.500).


(20)
Here is a relaxed structure of SrAs4Ir from the Alexandria database. Energies are from GGA-PBE.

The energy comes out at -4.565 eV per atom.

The structure belongs to space group F-43m (No. 216); the cell edges are 7.925, 7.925 and 7.925 Å and the angles 90.00°, 90.00° and 90.00°. The asymmetric unit holds Sr at (0.000, 0.000, 0.000), As at (0.124, 0.124, 0.624) and Ir at (0.250, 0.250, 0.250).